one) This record from Alexandria describes a geometry-optimized AcPrTh2 structure. The functional is PBE-GGA.

a b c (Å): 13.0960 13.0960 13.0960
angles (deg): 15.86 15.86 15.86
Fractional positions:
1 Ac 0.0000 0.0000 0.0000
2 Pr 0.5000 0.5000 0.5000
3 Th 0.0901 0.0901 0.0901
4 Th 0.9099 0.9099 0.9099

For the total magnetization, the calculation gives 0.00 μB per atom. The space-group type is No. 166.

two) This record from Alexandria describes a geometry-optimized AcPrTh2 structure. The functional is PBE-GGA.

a b c (Å): 4.3668 4.3668 7.5393
angles (deg): 90.00 90.00 90.00
Fractional positions:
1 Ac 0.0000 0.0000 0.0000
2 Pr 0.0000 0.0000 0.5000
3 Th 0.5000 0.5000 0.2788
4 Th 0.5000 0.5000 0.7212

For the total magnetization, the calculation gives 0.00 μB per atom. The space-group type is No. 123.

Q: Which of them is the least stable? A: one).

one) This record from Alexandria describes a geometry-optimized Ac2PrTh structure. The functional is PBE-GGA.

a b c (Å): 3.7870 3.7870 10.8510
angles (deg): 90.00 90.00 90.00
Fractional positions:
1 Ac 0.0000 0.0000 0.2399
2 Ac 0.0000 0.0000 0.7601
3 Pr 0.5000 0.5000 0.5000
4 Th 0.5000 0.5000 0.0000

For the total magnetization, the calculation gives 0.00 μB per atom. The space-group type is No. 123.

two) This record from Alexandria describes a geometry-optimized Ac2PrTh structure. The functional is PBE-GGA.

a b c (Å): 6.0521 6.0521 6.0521
angles (deg): 60.00 60.00 60.00
Fractional positions:
1 Ac 0.2500 0.2500 0.2500
2 Ac 0.7500 0.7500 0.7500
3 Pr 0.0000 0.0000 0.0000
4 Th 0.5000 0.5000 0.5000

For the total magnetization, the calculation gives 0.16 μB per atom. The space-group type is No. 225.

Q: Which of them is the least stable? A: two).

one) This record from Alexandria describes a geometry-optimized Ac2PrTh structure. The functional is PBE-GGA.

a b c (Å): 5.3833 5.3833 5.3687
angles (deg): 90.00 90.00 90.00
Fractional positions:
1 Ac 0.0000 0.5000 0.0000
2 Ac 0.5000 0.0000 0.0000
3 Pr 0.0000 0.0000 0.5000
4 Th 0.5000 0.5000 0.5000

For the total magnetization, the calculation gives 0.00 μB per atom. The space-group type is No. 123.

two) This record from Alexandria describes a geometry-optimized Ac2PrTh structure. The functional is PBE-GGA.

a b c (Å): 13.5197 13.5197 13.5197
angles (deg): 15.78 15.78 15.78
Fractional positions:
1 Ac 0.0882 0.0882 0.0882
2 Ac 0.9118 0.9118 0.9118
3 Pr 0.5000 0.5000 0.5000
4 Th 0.0000 0.0000 0.0000

For the total magnetization, the calculation gives 0.00 μB per atom. The space-group type is No. 166.

Q: Which of them is the least stable? A: two).

one) This record from Alexandria describes a geometry-optimized AcPrYTh structure. The functional is PBE-GGA.

a b c (Å): 3.7091 3.7091 10.5412
angles (deg): 90.00 90.00 90.00
Fractional positions:
1 Ac 0.0000 0.0000 0.0000
2 Pr 0.5000 0.5000 0.7224
3 Y 0.5000 0.5000 0.2656
4 Th 0.0000 0.0000 0.4907

For the total magnetization, the calculation gives 0.00 μB per atom. The space-group type is No. 99.

two) This record from Alexandria describes a geometry-optimized AcPrYTh structure. The functional is PBE-GGA.

a b c (Å): 5.8989 5.8989 5.8989
angles (deg): 60.00 60.00 60.00
Fractional positions:
1 Ac 0.0000 0.0000 0.0000
2 Pr 0.5000 0.5000 0.5000
3 Y 0.2500 0.2500 0.2500
4 Th 0.7500 0.7500 0.7500

For the total magnetization, the calculation gives 0.00 μB per atom. The space-group type is No. 216.

Q: Which of them is the least stable? A: two).

one) This record from Alexandria describes a geometry-optimized AcPr2Tl structure. The functional is PBE-GGA.

a b c (Å): 5.7697 5.7697 5.7697
angles (deg): 60.00 60.00 60.00
Fractional positions:
1 Ac 0.0000 0.0000 0.0000
2 Pr 0.2500 0.2500 0.2500
3 Pr 0.7500 0.7500 0.7500
4 Tl 0.5000 0.5000 0.5000

For the total magnetization, the calculation gives 0.00 μB per atom. The space-group type is No. 225.

two) This record from Alexandria describes a geometry-optimized AcPr2Tl structure. The functional is PBE-GGA.

a b c (Å): 5.1522 5.1522 5.1185
angles (deg): 90.00 90.00 90.00
Fractional positions:
1 Ac 0.0000 0.0000 0.0000
2 Pr 0.0000 0.5000 0.5000
3 Pr 0.5000 0.0000 0.5000
4 Tl 0.5000 0.5000 0.0000

For the total magnetization, the calculation gives 0.00 μB per atom. The space-group type is No. 123.

Q: Which of them is the least stable? A: one).

one) This record from Alexandria describes a geometry-optimized Ac4PrTl structure. The functional is PBE-GGA.

a b c (Å): 7.1708 7.1708 7.1708
angles (deg): 60.00 60.00 60.00
Fractional positions:
1 Ac 0.1248 0.1248 0.1248
2 Ac 0.1248 0.1248 0.6257
3 Ac 0.1248 0.6257 0.1248
4 Ac 0.6257 0.1248 0.1248
5 Pr 0.5000 0.5000 0.5000
6 Tl 0.7500 0.7500 0.7500

For the total magnetization, the calculation gives 0.00 μB per atom. The space-group type is No. 216.

two) This record from Alexandria describes a geometry-optimized Ac4PrTl structure. The functional is PBE-GGA.

a b c (Å): 9.4449 9.4449 9.4449
angles (deg): 99.96 99.96 130.85
Fractional positions:
1 Ac 0.2142 0.0000 0.2142
2 Ac 0.2426 0.4991 0.2565
3 Ac 0.2426 0.9861 0.7435
4 Ac 0.2491 0.4926 0.7565
5 Ac 0.7361 0.4926 0.2435
6 Ac 0.7500 0.0358 0.2858
7 Ac 0.7500 0.4642 0.7142
8 Ac 0.7858 0.0000 0.7858
9 Pr 0.5000 0.0000 0.5000
10 Pr 0.7500 0.7500 0.0000
11 Tl 0.0654 0.5654 0.5000
12 Tl 0.3154 0.3154 0.0000

For the total magnetization, the calculation gives 0.00 μB per atom. The space-group type is No. 109.

Q: Which of them is the least stable? A: two).